1:
Material: YCrTc3
Method: DFT, PBE-GGA
State: relaxed

## Properties
Total magnetization ... 0.00 μB per formula unit
Fermi-level density of states ... 6.92 states/eV per cell

Lattice parameters (Å, degrees): 4.516 4.516 4.516 90.00 90.00 90.00
Space group Pm-3m (No. 221)
Unique sites:
Y  0.000  0.000  0.000 x1
Cr  0.500  0.500  0.500 x1
Tc  0.000  0.500  0.500 x3

=====

2:
Material: YCrTc3
Method: DFT, PBE-GGA
State: relaxed

## Properties
Total magnetization ... 0.27 μB per formula unit
Fermi-level density of states ... 11.11 states/eV per cell

Lattice parameters (Å, degrees): 4.690 4.690 4.690 90.00 90.00 90.00
Space group Pm-3m (No. 221)
Unique sites:
Y  0.000  0.000  0.000 x1
Cr  0.500  0.500  0.500 x1
Tc  0.000  0.000  0.500 x3

=====

The most stable of them is 1.

=====

1:
Material: ZnCr3Tc
Method: DFT, PBE-GGA
State: relaxed

## Properties
Total magnetization ... 8.26 μB per formula unit
Fermi-level density of states ... 4.13 states/eV per cell

Lattice parameters (Å, degrees): 4.626 4.626 4.626 90.00 90.00 90.00
Space group Pm-3m (No. 221)
Unique sites:
Zn  0.000  0.000  0.000 x1
Cr  0.000  0.500  0.500 x3
Tc  0.500  0.500  0.500 x1

=====

2:
Material: ZnCr3Tc
Method: DFT, PBE-GGA
State: relaxed

## Properties
Total magnetization ... 7.10 μB per formula unit
Fermi-level density of states ... 6.29 states/eV per cell

Lattice parameters (Å, degrees): 4.501 4.501 4.501 90.00 90.00 90.00
Space group Pm-3m (No. 221)
Unique sites:
Zn  0.000  0.000  0.000 x1
Cr  0.000  0.000  0.500 x3
Tc  0.500  0.500  0.500 x1

=====

The most stable of them is 1.